Compound: Al2FeAg
Source: the Alexandria database
Functional: GGA-PBE
Structure: relaxed

Geometry as CIF:
```
data_Al2FeAg
_chemical_formula_sum 'Al2 Fe1 Ag1'
_symmetry_space_group_name_H-M 'P 1'
_symmetry_Int_Tables_number 1
_symmetry_space_group_name_Hall 'P 1'
_cell_length_a 4.391
_cell_length_b 4.391
_cell_length_c 4.391
_cell_angle_alpha 60.00
_cell_angle_beta 60.00
_cell_angle_gamma 60.00
loop_
_atom_site_label
_atom_site_fract_x
_atom_site_fract_y
_atom_site_fract_z
_atom_site_occupancy
Fe1 0.750 0.750 0.750 1
Ag1 0.500 0.500 0.500 1
Al1 0.000 0.000 0.000 1
Al2 0.250 0.250 0.250 1
```

## Properties
space-group type: F-43m
polymorph energy (0 for the lowest one): 403 meV per atom
total moment: 0.50 μB/atom
E_form: 0.164 eV per atom
ρ: 6.04 g/cm³

Compound: AlFeAg
Source: the Alexandria database
Functional: GGA-PBE
Structure: relaxed

Geometry as CIF:
```
data_AlFeAg
_chemical_formula_sum 'Al1 Fe1 Ag1'
_symmetry_space_group_name_H-M 'P 1'
_symmetry_Int_Tables_number 1
_symmetry_space_group_name_Hall 'P 1'
_cell_length_a 2.790
_cell_length_b 2.790
_cell_length_c 6.631
_cell_angle_alpha 90.00
_cell_angle_beta 90.00
_cell_angle_gamma 120.00
loop_
_atom_site_label
_atom_site_fract_x
_atom_site_fract_y
_atom_site_fract_z
_atom_site_occupancy
Fe1 0.333 0.667 0.651 1
Ag1 0.000 0.000 0.998 1
Al1 0.667 0.333 0.351 1
```

## Properties
space-group type: P3m1
polymorph energy (0 for the lowest one): 61 meV per atom
total moment: 0.76 μB/atom
E_form: 0.096 eV per atom
ρ: 7.08 g/cm³

Compound: Al2Fe2Ag
Source: the Alexandria database
Functional: GGA-PBE
Structure: relaxed

Geometry as CIF:
```
data_Al2Fe2Ag
_chemical_formula_sum 'Al4 Fe4 Ag2'
_symmetry_space_group_name_H-M 'P 1'
_symmetry_Int_Tables_number 1
_symmetry_space_group_name_Hall 'P 1'
_cell_length_a 7.238
_cell_length_b 7.238
_cell_length_c 2.694
_cell_angle_alpha 90.00
_cell_angle_beta 90.00
_cell_angle_gamma 90.00
loop_
_atom_site_label
_atom_site_fract_x
_atom_site_fract_y
_atom_site_fract_z
_atom_site_occupancy
Fe1 0.385 0.885 0.000 1
Fe2 0.885 0.615 0.000 1
Fe3 0.615 0.115 0.000 1
Fe4 0.115 0.385 0.000 1
Ag1 0.000 0.000 0.000 1
Ag2 0.500 0.500 0.000 1
Al1 0.179 0.679 0.500 1
Al2 0.679 0.821 0.500 1
Al3 0.821 0.321 0.500 1
Al4 0.321 0.179 0.500 1
```

## Properties
space-group type: P4/mbm
polymorph energy (0 for the lowest one): 0 meV per atom
total moment: 0.71 μB/atom
E_form: -0.078 eV per atom
ρ: 6.44 g/cm³

Compound: AlFe2Ag
Source: the Alexandria database
Functional: GGA-PBE
Structure: relaxed

Geometry as CIF:
```
data_AlFe2Ag
_chemical_formula_sum 'Al1 Fe2 Ag1'
_symmetry_space_group_name_H-M 'P 1'
_symmetry_Int_Tables_number 1
_symmetry_space_group_name_Hall 'P 1'
_cell_length_a 3.929
_cell_length_b 2.679
_cell_length_c 5.892
_cell_angle_alpha 63.85
_cell_angle_beta 90.00
_cell_angle_gamma 90.00
loop_
_atom_site_label
_atom_site_fract_x
_atom_site_fract_y
_atom_site_fract_z
_atom_site_occupancy
Fe1 0.000 0.018 0.978 1
Fe2 0.000 0.482 0.522 1
Ag1 0.500 0.250 0.250 1
Al1 0.500 0.750 0.750 1
```

## Properties
space-group type: P2/m
total moment: 1.19 μB/atom
E_form: 0.075 eV per atom
ρ: 7.35 g/cm³

Compound: AlFe2Ag
Source: the Alexandria database
Functional: GGA-PBE
Structure: relaxed

Geometry as CIF:
```
data_AlFe2Ag
_chemical_formula_sum 'Al1 Fe2 Ag1'
_symmetry_space_group_name_H-M 'P 1'
_symmetry_Int_Tables_number 1
_symmetry_space_group_name_Hall 'P 1'
_cell_length_a 4.817
_cell_length_b 4.817
_cell_length_c 4.817
_cell_angle_alpha 134.73
_cell_angle_beta 134.97
_cell_angle_gamma 65.77
loop_
_atom_site_label
_atom_site_fract_x
_atom_site_fract_y
_atom_site_fract_z
_atom_site_occupancy
Fe1 0.000 0.000 0.000 1
Fe2 0.500 0.500 0.000 1
Ag1 0.750 0.250 0.500 1
Al1 0.250 0.750 0.500 1
```

## Properties
space-group type: Immm
total moment: 1.22 μB/atom
E_form: 0.058 eV per atom
ρ: 7.40 g/cm³

Compound: Al2FeAg
Source: the Alexandria database
Functional: GGA-PBE
Structure: relaxed

Geometry as CIF:
```
data_Al2FeAg
_chemical_formula_sum 'Al2 Fe1 Ag1'
_symmetry_space_group_name_H-M 'P 1'
_symmetry_Int_Tables_number 1
_symmetry_space_group_name_Hall 'P 1'
_cell_length_a 3.301
_cell_length_b 4.159
_cell_length_c 4.159
_cell_angle_alpha 90.00
_cell_angle_beta 90.00
_cell_angle_gamma 90.00
loop_
_atom_site_label
_atom_site_fract_x
_atom_site_fract_y
_atom_site_fract_z
_atom_site_occupancy
Fe1 0.500 0.500 0.000 1
Ag1 0.500 0.000 0.500 1
Al1 0.000 0.000 0.000 1
Al2 0.000 0.500 0.500 1
```

## Properties
space-group type: P4/mmm
polymorph energy (0 for the lowest one): 155 meV per atom
total moment: 0.37 μB/atom
E_form: -0.085 eV per atom
ρ: 6.33 g/cm³

Compound: HfAlFe2Ag
Source: the Alexandria database
Functional: GGA-PBE
Structure: relaxed

Geometry as CIF:
```
data_HfAlFe2Ag
_chemical_formula_sum 'Hf1 Al1 Fe2 Ag1'
_symmetry_space_group_name_H-M 'P 1'
_symmetry_Int_Tables_number 1
_symmetry_space_group_name_Hall 'P 1'
_cell_length_a 4.328
_cell_length_b 4.439
_cell_length_c 4.328
_cell_angle_alpha 90.00
_cell_angle_beta 90.00
_cell_angle_gamma 90.00
loop_
_atom_site_label
_atom_site_fract_x
_atom_site_fract_y
_atom_site_fract_z
_atom_site_occupancy
Hf1 0.500 0.500 0.500 1
Fe1 0.000 0.000 0.500 1
Fe2 0.500 0.000 0.000 1
Ag1 0.000 0.500 0.000 1
Al1 0.000 0.000 0.000 1
```

## Properties
space-group type: P4/mmm
total moment: 0.00 μB/atom
E_form: 0.806 eV per atom
ρ: 8.49 g/cm³

Compound: LaAl2FeAg
Source: the Alexandria database
Functional: GGA-PBE
Structure: relaxed

Geometry as CIF:
```
data_LaAl2FeAg
_chemical_formula_sum 'La1 Al2 Fe1 Ag1'
_symmetry_space_group_name_H-M 'P 1'
_symmetry_Int_Tables_number 1
_symmetry_space_group_name_Hall 'P 1'
_cell_length_a 4.540
_cell_length_b 5.053
_cell_length_c 4.540
_cell_angle_alpha 90.00
_cell_angle_beta 90.00
_cell_angle_gamma 90.00
loop_
_atom_site_label
_atom_site_fract_x
_atom_site_fract_y
_atom_site_fract_z
_atom_site_occupancy
Al1 0.000 0.000 0.500 1
Al2 0.500 0.000 0.000 1
Fe1 0.000 0.000 0.000 1
Ag1 0.000 0.500 0.000 1
La1 0.500 0.500 0.500 1
```

## Properties
space-group type: P4/mmm
total moment: 0.00 μB/atom
E_form: -0.122 eV per atom
ρ: 5.69 g/cm³

Compound: NaAl2FeAg
Source: the Alexandria database
Functional: GGA-PBE
Structure: relaxed

Geometry as CIF:
```
data_NaAl2FeAg
_chemical_formula_sum 'Na1 Al2 Fe1 Ag1'
_symmetry_space_group_name_H-M 'P 1'
_symmetry_Int_Tables_number 1
_symmetry_space_group_name_Hall 'P 1'
_cell_length_a 4.547
_cell_length_b 5.033
_cell_length_c 4.547
_cell_angle_alpha 90.00
_cell_angle_beta 90.00
_cell_angle_gamma 90.00
loop_
_atom_site_label
_atom_site_fract_x
_atom_site_fract_y
_atom_site_fract_z
_atom_site_occupancy
Na1 0.500 0.500 0.500 1
Fe1 0.000 0.000 0.000 1
Ag1 0.000 0.500 0.000 1
Al1 0.000 0.000 0.500 1
Al2 0.500 0.000 0.000 1
```

## Properties
space-group type: P4/mmm
total moment: 0.17 μB/atom
E_form: 0.258 eV per atom
ρ: 3.84 g/cm³

Compound: Sc2Al5Fe2Ag
Source: the Alexandria database
Functional: GGA-PBE
Structure: relaxed

Geometry as CIF:
```
data_Sc2Al5Fe2Ag
_chemical_formula_sum 'Sc4 Al10 Fe4 Ag2'
_symmetry_space_group_name_H-M 'P 1'
_symmetry_Int_Tables_number 1
_symmetry_space_group_name_Hall 'P 1'
_cell_length_a 4.067
_cell_length_b 8.979
_cell_length_c 8.979
_cell_angle_alpha 90.00
_cell_angle_beta 90.00
_cell_angle_gamma 90.00
loop_
_atom_site_label
_atom_site_fract_x
_atom_site_fract_y
_atom_site_fract_z
_atom_site_occupancy
Sc1 0.000 0.682 0.182 1
Sc2 0.000 0.318 0.818 1
Sc3 0.000 0.182 0.318 1
Sc4 0.000 0.818 0.682 1
Al1 0.500 0.215 0.068 1
Al2 0.500 0.785 0.932 1
Al3 0.500 0.068 0.785 1
Al4 0.500 0.715 0.432 1
Al5 0.500 0.932 0.215 1
Al6 0.500 0.285 0.568 1
Al7 0.500 0.568 0.715 1
Al8 0.500 0.432 0.285 1
Al9 0.500 0.500 0.000 1
Al10 0.500 0.000 0.500 1
Fe1 0.000 0.104 0.604 1
Fe2 0.000 0.896 0.396 1
Fe3 0.000 0.604 0.896 1
Fe4 0.000 0.396 0.104 1
Ag1 0.000 0.000 0.000 1
Ag2 0.000 0.500 0.500 1
```

## Properties
space-group type: P4/mbm
total moment: 0.23 μB/atom
E_form: -0.304 eV per atom
ρ: 4.50 g/cm³

Compound: SrAl2FeAg
Source: the Alexandria database
Functional: GGA-PBE
Structure: relaxed

Geometry as CIF:
```
data_SrAl2FeAg
_chemical_formula_sum 'Sr1 Al2 Fe1 Ag1'
_symmetry_space_group_name_H-M 'P 1'
_symmetry_Int_Tables_number 1
_symmetry_space_group_name_Hall 'P 1'
_cell_length_a 5.803
_cell_length_b 5.492
_cell_length_c 5.803
_cell_angle_alpha 90.00
_cell_angle_beta 90.00
_cell_angle_gamma 90.00
loop_
_atom_site_label
_atom_site_fract_x
_atom_site_fract_y
_atom_site_fract_z
_atom_site_occupancy
Sr1 0.000 0.000 0.000 1
Fe1 0.500 0.500 0.500 1
Ag1 0.000 0.500 0.000 1
Al1 0.000 0.000 0.500 1
Al2 0.500 0.000 0.000 1
```

## Properties
space-group type: P4/mmm
total moment: 0.56 μB/atom
E_form: 1.796 eV per atom
ρ: 2.74 g/cm³

Compound: TaAl2FeAg
Source: the Alexandria database
Functional: GGA-PBE
Structure: relaxed

Geometry as CIF:
```
data_TaAl2FeAg
_chemical_formula_sum 'Ta1 Al2 Fe1 Ag1'
_symmetry_space_group_name_H-M 'P 1'
_symmetry_Int_Tables_number 1
_symmetry_space_group_name_Hall 'P 1'
_cell_length_a 4.522
_cell_length_b 4.651
_cell_length_c 4.522
_cell_angle_alpha 90.00
_cell_angle_beta 90.00
_cell_angle_gamma 90.00
loop_
_atom_site_label
_atom_site_fract_x
_atom_site_fract_y
_atom_site_fract_z
_atom_site_occupancy
Al1 0.000 0.000 0.500 1
Al2 0.500 0.000 0.000 1
Fe1 0.000 0.500 0.000 1
Ag1 0.000 0.000 0.000 1
Ta1 0.500 0.500 0.500 1
```

## Properties
space-group type: P4/mmm
total moment: 0.02 μB/atom
E_form: 1.357 eV per atom
ρ: 6.96 g/cm³